Compound: Mn5V2Pb3O16
Source: Alexandria
Functional: GGA+U
Structure: relaxed

Results
As for the uncorrected energy: -183.94 eV for the cell shown. The value obtained for the density is 6.1 g cm⁻³. Its total magnetic moment is 19.000 μB/f.u.

Cell and atoms, written as CIF:
```
data_Mn5V2Pb3O16
_chemical_formula_sum 'Mn5 V2 Pb3 O16'
_cell_length_a 5.8361
_cell_length_b 5.8361
_cell_length_c 11.4959
_cell_angle_alpha 90.00
_cell_angle_beta 90.00
_cell_angle_gamma 120.00
_space_group_name_H-M_alt 'P -3 m 1'
_space_group_IT_number 164
_space_group_name_Hall '-P 3 2"'
loop_
_atom_site_label
_atom_site_fract_x
_atom_site_fract_y
_atom_site_fract_z
Mn1 0.0000 0.0000 0.1915
Mn2 0.0000 0.5000 0.0000
V1 0.3333 0.6667 0.3629
Pb1 0.0000 0.0000 0.5000
Pb2 0.3333 0.6667 0.7358
O1 0.1658 0.3315 0.3175
O2 0.1770 0.3539 0.9057
O3 0.3333 0.6667 0.0844
O4 0.3333 0.6667 0.5101
```